12
Lattice="3.489 -3.594 0.000 3.489 3.594 0.000 0.000 0.000 6.778" Properties=species:S:1:pos:R:3 comment="Er2BiMoO8, relaxed, DFT GGA+U" n_ef_per_ev_cell=1.6 sg=Cmmm final_energy_ha_per_atom=-0.266 pbc="T T T"
Er 0.000 0.000 1.643
Er 0.000 0.000 5.135
Bi 3.489 0.000 3.389
Mo 3.489 0.000 0.000
O 1.326 0.000 3.389
O 1.547 0.000 0.000
O 3.489 1.323 1.467
O 3.489 1.323 5.311
O 3.489 -1.323 1.467
O 3.489 -1.323 5.311
O 5.431 0.000 0.000
O 5.652 0.000 3.389